1.
{"formula": "HoPuHgOs", "functional": "PBE", "state": "optimized geometry", "density_kg_m3": 14897, "e_above_lowest_polymorph_mev_per_atom": 174, "energy_ev_per_atom": -7.6669, "cell": [[5.014, 0.000, 0.000], [2.507, 4.342, 0.000], [2.507, 1.447, 4.094]], "species": ["Ho", "Os", "Hg", "Pu"], "frac_coords": [[0.000, 0.000, 0.000], [0.250, 0.250, 0.250], [0.750, 0.750, 0.750], [0.500, 0.500, 0.500]]}


2.
{"formula": "Ho4Au", "functional": "PBE", "state": "optimized geometry", "density_kg_m3": 9607, "e_above_lowest_polymorph_mev_per_atom": 0, "energy_ev_per_atom": -4.5467, "cell": [[-5.713, 2.905, 2.853], [3.000, -5.314, 3.461], [5.273, 5.604, 0.205]], "species": ["Ho", "Ho", "Ho", "Ho", "Ho", "Ho", "Ho", "Ho", "Au", "Au"], "frac_coords": [[0.645, 0.491, 0.770], [0.721, 0.876, 0.230], [0.774, 0.050, 0.865], [0.185, 0.908, 0.135], [0.300, 0.524, 0.365], [0.158, 0.935, 0.635], [0.126, 0.471, 0.730], [0.741, 0.395, 0.270], [0.327, 0.327, 0.000], [0.577, 0.077, 0.500]]}


3.
{"formula": "Sr2MgNb2", "functional": "PBE", "state": "optimized geometry", "density_kg_m3": 3851, "e_above_lowest_polymorph_mev_per_atom": 328, "energy_ev_per_atom": -4.1680, "cell": [[-8.746, -1.768, 3.969], [1.224, -9.561, -1.563], [1.488, -0.322, 3.135]], "species": ["Sr", "Sr", "Sr", "Sr", "Nb", "Nb", "Nb", "Nb", "Mg", "Mg"], "frac_coords": [[0.296, 0.796, 0.000], [0.796, 0.704, 0.000], [0.704, 0.204, 0.000], [0.204, 0.296, 0.000], [0.081, 0.581, 0.500], [0.581, 0.919, 0.500], [0.919, 0.419, 0.500], [0.419, 0.081, 0.500], [0.000, 0.000, 0.000], [0.500, 0.500, 0.000]]}


4.
{"formula": "ScAuO2", "functional": "PBE", "state": "optimized geometry", "density_kg_m3": 7112, "energy_ev_per_atom": -6.6662, "e_form_raw_ev_per_atom": -1.7849, "cell": [[-1.668, -4.359, 2.019], [-1.753, -1.438, -4.552], [2.639, -5.028, -2.269]], "species": ["Sc", "Sc", "Au", "Au", "O", "O", "O", "O"], "frac_coords": [[0.500, 0.500, 0.000], [0.250, 0.750, 0.500], [0.000, 0.000, 0.000], [0.750, 0.250, 0.500], [0.556, 0.125, 0.250], [0.194, 0.625, 0.250], [0.375, 0.444, 0.750], [0.875, 0.806, 0.750]]}


5.
{"formula": "Ce2TmTh2Hg5", "functional": "PBE", "state": "optimized geometry", "density_kg_m3": 11523, "energy_ev_per_atom": -3.3899, "cell": [[-1.277, -3.077, 3.248], [10.470, -2.335, 1.905], [0.371, 7.832, 7.565]], "species": ["Ce", "Ce", "Ce", "Ce", "Tm", "Tm", "Th", "Th", "Th", "Th", "Hg", "Hg", "Hg", "Hg", "Hg", "Hg", "Hg", "Hg", "Hg", "Hg"], "frac_coords": [[0.000, 0.133, 0.633], [0.000, 0.867, 0.367], [0.000, 0.633, 0.867], [0.000, 0.367, 0.133], [0.000, 0.000, 0.000], [0.000, 0.500, 0.500], [0.000, 0.675, 0.175], [0.000, 0.325, 0.825], [0.000, 0.175, 0.325], [0.000, 0.825, 0.675], [0.500, 0.171, 0.102], [0.500, 0.829, 0.898], [0.500, 0.102, 0.829], [0.500, 0.671, 0.398], [0.500, 0.898, 0.171], [0.500, 0.329, 0.602], [0.500, 0.602, 0.671], [0.500, 0.398, 0.329], [0.500, 0.500, 0.000], [0.500, 0.000, 0.500]]}


6.
{"formula": "PrMgIn2", "functional": "PBE", "state": "optimized geometry", "density_kg_m3": 6294, "energy_ev_per_atom": -3.3869, "cell": [[-2.423, 2.522, -3.057], [-3.253, -3.432, -0.254], [-2.397, 2.008, 3.556]], "species": ["Pr", "Mg", "In", "In"], "frac_coords": [[0.500, 0.500, 0.500], [0.500, 0.000, 0.000], [0.000, 0.000, 0.500], [0.000, 0.500, 0.000]]}


7.
{"formula": "TcSn2I", "functional": "PBE", "state": "optimized geometry", "density_kg_m3": 7532, "e_above_lowest_polymorph_mev_per_atom": 315, "energy_ev_per_atom": -4.0771, "e_form_raw_ev_per_atom": 0.9033, "cell": [[0.000, 3.707, 3.707], [3.707, 0.000, 3.707], [3.707, 3.707, 0.000]], "species": ["I", "Sn", "Sn", "Tc"], "frac_coords": [[0.500, 0.500, 0.500], [0.250, 0.250, 0.250], [0.750, 0.750, 0.750], [0.000, 0.000, 0.000]]}


8.
{"formula": "Hg3TeCl4", "functional": "PBE", "state": "optimized geometry", "density_kg_m3": 5752, "e_above_lowest_polymorph_mev_per_atom": 0, "energy_ev_per_atom": -1.9633, "e_form_raw_ev_per_atom": -0.5340, "cell": [[12.180, 0.000, 0.000], [0.000, 12.727, 0.000], [0.000, 0.000, 12.980]], "species": ["Hg", "Hg", "Hg", "Hg", "Hg", "Hg", "Hg", "Hg", "Hg", "Hg", "Hg", "Hg", "Hg", "Hg", "Hg", "Hg", "Hg", "Hg", "Hg", "Hg", "Hg", "Hg", "Hg", "Hg", "Te", "Te", "Te", "Te", "Te", "Te", "Te", "Te", "Cl", "Cl", "Cl", "Cl", "Cl", "Cl", "Cl", "Cl", "Cl", "Cl", "Cl", "Cl", "Cl", "Cl", "Cl", "Cl", "Cl", "Cl", "Cl", "Cl", "Cl", "Cl", "Cl", "Cl", "Cl", "Cl", "Cl", "Cl", "Cl", "Cl", "Cl", "Cl"], "frac_coords": [[0.607, 0.100, 0.187], [0.320, 0.319, 0.223], [0.180, 0.681, 0.723], [0.680, 0.819, 0.277], [0.180, 0.819, 0.223], [0.680, 0.681, 0.777], [0.820, 0.319, 0.277], [0.320, 0.181, 0.723], [0.820, 0.181, 0.777], [0.107, 0.400, 0.813], [0.393, 0.600, 0.313], [0.893, 0.900, 0.687], [0.393, 0.900, 0.813], [0.893, 0.600, 0.187], [0.607, 0.400, 0.687], [0.107, 0.100, 0.313], [0.224, 0.085, 0.010], [0.724, 0.415, 0.990], [0.776, 0.585, 0.490], [0.276, 0.915, 0.510], [0.776, 0.915, 0.990], [0.276, 0.585, 0.010], [0.224, 0.415, 0.510], [0.724, 0.085, 0.490], [0.408, 0.094, 0.895], [0.908, 0.406, 0.105], [0.592, 0.594, 0.605], [0.092, 0.906, 0.395], [0.592, 0.906, 0.105], [0.092, 0.594, 0.895], [0.408, 0.406, 0.395], [0.908, 0.094, 0.605], [0.328, 0.109, 0.219], [0.828, 0.391, 0.781], [0.672, 0.609, 0.281], [0.172, 0.891, 0.719], [0.672, 0.891, 0.781], [0.172, 0.609, 0.219], [0.328, 0.391, 0.719], [0.828, 0.109, 0.281], [0.052, 0.089, 0.100], [0.552, 0.411, 0.900], [0.948, 0.589, 0.400], [0.448, 0.911, 0.600], [0.948, 0.911, 0.900], [0.448, 0.589, 0.100], [0.052, 0.411, 0.600], [0.593, 0.208, 0.684], [0.758, 0.158, 0.956], [0.258, 0.342, 0.044], [0.242, 0.658, 0.544], [0.742, 0.842, 0.456], [0.242, 0.842, 0.044], [0.742, 0.658, 0.956], [0.758, 0.342, 0.456], [0.258, 0.158, 0.544], [0.093, 0.208, 0.816], [0.593, 0.292, 0.184], [0.907, 0.708, 0.684], [0.407, 0.792, 0.316], [0.907, 0.792, 0.184], [0.407, 0.708, 0.816], [0.093, 0.292, 0.316], [0.552, 0.089, 0.400]]}


9.
{"formula": "LaPmSn", "functional": "PBE", "state": "optimized geometry", "density_kg_m3": 7727, "e_above_lowest_polymorph_mev_per_atom": 333, "energy_ev_per_atom": -4.8250, "cell": [[-4.425, -1.436, -2.758], [4.378, -3.173, -0.138], [-2.286, -3.392, 5.434]], "species": ["Sn", "Sn", "La", "La", "Pm", "Pm"], "frac_coords": [[0.000, 0.000, 0.500], [0.000, 0.000, 0.000], [0.333, 0.667, 0.250], [0.667, 0.333, 0.750], [0.329, 0.671, 0.750], [0.671, 0.329, 0.250]]}


10.
{"formula": "KLiOs", "functional": "PBE", "state": "optimized geometry", "density_kg_m3": 5296, "e_above_lowest_polymorph_mev_per_atom": 0, "energy_ev_per_atom": -4.1069, "cell": [[-2.553, 0.564, 0.647], [0.076, -3.250, 3.135], [4.790, 7.862, 8.034]], "species": ["K", "K", "Li", "Li", "Os", "Os"], "frac_coords": [[0.106, 0.000, 0.904], [0.686, 0.500, 0.239], [0.017, 0.000, 0.644], [0.944, 0.000, 0.444], [0.469, 0.500, 0.519], [0.539, 0.500, 0.709]]}


11.
{"formula": "TbNdSb", "functional": "PBE", "state": "optimized geometry", "density_kg_m3": 7504, "energy_ev_per_atom": -4.9648, "e_form_raw_ev_per_atom": -0.4580, "cell": [[-2.681, -0.351, 3.153], [-0.865, -4.874, -1.278], [3.730, 1.154, 3.301]], "species": ["Nd", "Tb", "Sb"], "frac_coords": [[0.624, 0.667, 0.333], [0.102, 0.000, 0.000], [0.274, 0.333, 0.667]]}


12.
{"formula": "Cs2OsBrCl6", "functional": "PBE", "state": "optimized geometry", "density_kg_m3": 3500, "e_above_lowest_polymorph_mev_per_atom": 16, "energy_ev_per_atom": -3.5619, "e_form_raw_ev_per_atom": -0.9929, "cell": [[-6.677, 0.937, 4.200], [-1.527, -7.764, -0.695], [-1.250, -4.400, 6.506]], "species": ["Cs", "Cs", "Os", "Br", "Cl", "Cl", "Cl", "Cl", "Cl", "Cl"], "frac_coords": [[0.750, 0.250, 0.500], [0.250, 0.750, 0.500], [0.000, 0.000, 0.000], [0.500, 0.500, 0.000], [0.208, 0.208, 0.584], [0.792, 0.792, 0.416], [0.208, 0.208, 0.000], [0.792, 0.792, 0.000], [0.792, 0.208, 0.000], [0.208, 0.792, 0.000]]}